(1)
# Cd6Ag2Pb | the Alexandria database | GGA-PBE | optimized geometry
data_Cd6Ag2Pb
_cell_length_a 15.108
_cell_length_b 8.305
_cell_length_c 3.375
_cell_angle_alpha 90.00
_cell_angle_beta 102.32
_cell_angle_gamma 90.00
_symmetry_space_group_name_H-M 'C 1 2/m 1'
_symmetry_Int_Tables_number 12
_symmetry_space_group_name_Hall '-C 2y'
loop_
_atom_site_label
_atom_site_fract_x
_atom_site_fract_y
_atom_site_fract_z
Cd1 0.000 0.168 0.000
Cd2 0.177 0.320 0.179
Ag1 0.147 0.000 0.642
Pb1 0.000 0.500 0.500
# E_tot   -1.6144 eV per atom
# Magnetic moment   0.0 Bohr magnetons per cell
# Density of states at the Fermi level   6.62 states/eV/cell
# Density   8.8 g/cm3
# Energy relative to the elements   0.0413 eV/atom

***

(2)
# CsRb2BaBr5 | the Alexandria database | GGA-PBE | optimized geometry
data_CsRb2BaBr5
_cell_length_a 6.145
_cell_length_b 8.506
_cell_length_c 17.097
_cell_angle_alpha 90.00
_cell_angle_beta 90.00
_cell_angle_gamma 90.00
_symmetry_space_group_name_H-M 'I m m m'
_symmetry_Int_Tables_number 71
_symmetry_space_group_name_Hall '-I 2 2'
loop_
_atom_site_label
_atom_site_fract_x
_atom_site_fract_y
_atom_site_fract_z
Cs1 0.000 0.000 0.000
Rb1 0.000 0.500 0.207
Ba1 0.000 0.000 0.500
Br1 0.000 0.253 0.363
Br2 0.000 0.500 0.000
# E_tot   -3.2911 eV per atom
# Magnetic moment   0.0 Bohr magnetons per cell
# Density of states at the Fermi level   0.00 states/eV/cell
# Density   3.1 g/cm3
# Formation energy without anion corrections   -177.36 kJ/mol of atoms

***

(3)
# CdCuP2O7 | the Alexandria database | GGA-PBE | optimized geometry
data_CdCuP2O7
_cell_length_a 6.942
_cell_length_b 8.663
_cell_length_c 4.603
_cell_angle_alpha 90.00
_cell_angle_beta 106.11
_cell_angle_gamma 90.00
_symmetry_space_group_name_H-M 'C 1 2 1'
_symmetry_Int_Tables_number 5
_symmetry_space_group_name_Hall 'C 2y'
loop_
_atom_site_label
_atom_site_fract_x
_atom_site_fract_y
_atom_site_fract_z
Cd1 0.000 0.000 0.000
Cu1 0.000 0.615 0.000
P1 0.204 0.302 0.410
O1 0.000 0.266 0.500
O2 0.129 0.798 0.287
O3 0.192 0.461 0.258
O4 0.228 0.170 0.206
# E_tot   -6.2972 eV per atom
# Magnetic moment   2.0 Bohr magnetons per cell
# Density of states at the Fermi level   5.67 states/eV/cell
# Density   4.4 g/cm3
# Formation energy without anion corrections   -164.30 kJ/mol of atoms

***

(4)
# Sr3PmF8 | the Alexandria database | GGA-PBE | optimized geometry
data_Sr3PmF8
_cell_length_a 5.859
_cell_length_b 5.859
_cell_length_c 5.859
_cell_angle_alpha 90.00
_cell_angle_beta 90.00
_cell_angle_gamma 90.00
_symmetry_space_group_name_H-M 'P m -3 m'
_symmetry_Int_Tables_number 221
_symmetry_space_group_name_Hall '-P 4 2 3'
loop_
_atom_site_label
_atom_site_fract_x
_atom_site_fract_y
_atom_site_fract_z
Sr1 0.000 0.000 0.500
Pm1 0.500 0.500 0.500
F1 0.259 0.259 0.259
# E_tot   -5.8378 eV per atom
# Magnetic moment   0.5 Bohr magnetons per cell
# Density of states at the Fermi level   4.10 states/eV/cell
# Density   4.6 g/cm3
# Formation energy without anion corrections   -364.13 kJ/mol of atoms

***

(5)
# PuMnAlCu | the Alexandria database | GGA-PBE | optimized geometry
data_PuMnAlCu
_cell_length_a 6.451
_cell_length_b 6.451
_cell_length_c 6.451
_cell_angle_alpha 90.00
_cell_angle_beta 90.00
_cell_angle_gamma 90.00
_symmetry_space_group_name_H-M 'F -4 3 m'
_symmetry_Int_Tables_number 216
_symmetry_space_group_name_Hall 'F -4 2 3'
loop_
_atom_site_label
_atom_site_fract_x
_atom_site_fract_y
_atom_site_fract_z
Pu1 0.000 0.000 0.000
Mn1 0.250 0.250 0.750
Al1 0.000 0.000 0.500
Cu1 0.250 0.250 0.250
# E_tot   -7.8624 eV per atom
# Magnetic moment   8.2 Bohr magnetons per cell
# Density of states at the Fermi level   20.01 states/eV/cell
# Density   9.6 g/cm3
# Energy relative to the elements   -0.0273 eV/atom

***

(6)
# Pr4Sm3Y4 | the Alexandria database | GGA-PBE | optimized geometry
data_Pr4Sm3Y4
_cell_length_a 3.622
_cell_length_b 9.487
_cell_length_c 22.513
_cell_angle_alpha 90.00
_cell_angle_beta 90.00
_cell_angle_gamma 90.00
_symmetry_space_group_name_H-M 'I m m m'
_symmetry_Int_Tables_number 71
_symmetry_space_group_name_Hall '-I 2 2'
loop_
_atom_site_label
_atom_site_fract_x
_atom_site_fract_y
_atom_site_fract_z
Pr1 0.000 0.177 0.144
Sm1 0.000 0.000 0.392
Sm2 0.000 0.500 0.500
Y1 0.000 0.318 0.000
Y2 0.000 0.500 0.241
# E_tot   -5.2502 eV per atom
# Magnetic moment   0.0 Bohr magnetons per cell
# Density of states at the Fermi level   34.24 states/eV/cell
# Density   5.9 g/cm3
# Energy relative to the elements   0.1254 eV/atom

***

(7)
# Ca2TePPd6 | the Alexandria database | GGA-PBE | optimized geometry
data_Ca2TePPd6
_cell_length_a 5.688
_cell_length_b 8.946
_cell_length_c 8.139
_cell_angle_alpha 90.00
_cell_angle_beta 90.00
_cell_angle_gamma 90.00
_symmetry_space_group_name_H-M 'P m m n'
_symmetry_Int_Tables_number 59
loop_
_symmetry_equiv_pos_as_xyz
'x,y,z'
'-x,-y,-z'
'-x+1/2,-y+1/2,z'
'x+1/2,y+1/2,-z'
'x+1/2,-y,-z'
'-x+1/2,y,z'
'-x,y+1/2,-z'
'x,-y+1/2,z'
loop_
_atom_site_label
_atom_site_fract_x
_atom_site_fract_y
_atom_site_fract_z
Ca1 0.250 0.009 0.240
Te1 0.250 0.750 0.789
P1 0.250 0.250 0.724
Pd1 0.004 0.750 0.500
Pd2 0.005 0.250 0.947
Pd3 0.250 0.004 0.621
# E_tot   -5.0545 eV per atom
# Magnetic moment   0.0 Bohr magnetons per cell
# Density of states at the Fermi level   6.64 states/eV/cell
# Density   7.0 g/cm3
# Formation energy without anion corrections   -65.93 kJ/mol of atoms

***

(8)
# CaCo2As | the Alexandria database | GGA-PBE | optimized geometry
data_CaCo2As
_cell_length_a 3.155
_cell_length_b 3.155
_cell_length_c 6.674
_cell_angle_alpha 90.00
_cell_angle_beta 90.00
_cell_angle_gamma 90.00
_symmetry_space_group_name_H-M 'P 4 m m'
_symmetry_Int_Tables_number 99
_symmetry_space_group_name_Hall 'P 4 -2'
loop_
_atom_site_label
_atom_site_fract_x
_atom_site_fract_y
_atom_site_fract_z
Ca1 0.000 0.000 0.000
Co1 0.000 0.000 0.477
Co2 0.500 0.500 0.311
As1 0.500 0.500 0.668
# E_tot   -5.2128 eV per atom
# Magnetic moment   2.8 Bohr magnetons per cell
# Density of states at the Fermi level   4.58 states/eV/cell
# Density   5.8 g/cm3
# Energy relative to the elements   0.0029 eV/atom

***

(9)
# SrPmSn | the Alexandria database | GGA-PBE | optimized geometry
data_SrPmSn
_cell_length_a 3.510
_cell_length_b 3.510
_cell_length_c 18.355
_cell_angle_alpha 90.00
_cell_angle_beta 90.00
_cell_angle_gamma 90.00
_symmetry_space_group_name_H-M 'I 4 m m'
_symmetry_Int_Tables_number 107
_symmetry_space_group_name_Hall 'I 4 -2'
loop_
_atom_site_label
_atom_site_fract_x
_atom_site_fract_y
_atom_site_fract_z
Sr1 0.000 0.000 0.000
Pm1 0.000 0.000 0.799
Sn1 0.000 0.000 0.631
# E_tot   -3.3712 eV per atom
# Magnetic moment   0.9 Bohr magnetons per cell
# Density of states at the Fermi level   3.28 states/eV/cell
# Density   5.2 g/cm3
# Energy relative to the elements   0.1072 eV/atom

***

(10)
# SrBe3Ir | the Alexandria database | GGA-PBE | optimized geometry
data_SrBe3Ir
_cell_length_a 4.513
_cell_length_b 4.513
_cell_length_c 4.513
_cell_angle_alpha 90.00
_cell_angle_beta 90.00
_cell_angle_gamma 90.00
_symmetry_space_group_name_H-M 'P m -3 m'
_symmetry_Int_Tables_number 221
_symmetry_space_group_name_Hall '-P 4 2 3'
loop_
_atom_site_label
_atom_site_fract_x
_atom_site_fract_y
_atom_site_fract_z
Sr1 0.000 0.000 0.000
Be1 0.000 0.000 0.500
Ir1 0.500 0.500 0.500
# E_tot   -1.6115 eV per atom
# Magnetic moment   0.0 Bohr magnetons per cell
# Density of states at the Fermi level   8.20 states/eV/cell
# Density   5.5 g/cm3
# Energy relative to the elements   2.7328 eV/atom

***

(11)
# HoEr6Mg2 | the Alexandria database | GGA-PBE | optimized geometry
data_HoEr6Mg2
_cell_length_a 8.772
_cell_length_b 9.433
_cell_length_c 6.390
_cell_angle_alpha 90.00
_cell_angle_beta 97.53
_cell_angle_gamma 90.00
_symmetry_space_group_name_H-M 'C 1 2/m 1'
_symmetry_Int_Tables_number 12
_symmetry_space_group_name_Hall '-C 2y'
loop_
_atom_site_label
_atom_site_fract_x
_atom_site_fract_y
_atom_site_fract_z
Ho1 0.000 0.000 0.000
Er1 0.163 0.500 0.675
Er2 0.165 0.329 0.179
Mg1 0.000 0.154 0.500
# E_tot   -3.8680 eV per atom
# Magnetic moment   0.0 Bohr magnetons per cell
# Density of states at the Fermi level   23.32 states/eV/cell
# Density   7.7 g/cm3
# Energy relative to the elements   0.0369 eV/atom

***

(12)
# Sm2ThPaN4 | the Alexandria database | GGA-PBE | optimized geometry
data_Sm2ThPaN4
_cell_length_a 6.183
_cell_length_b 3.590
_cell_length_c 6.236
_cell_angle_alpha 90.00
_cell_angle_beta 109.46
_cell_angle_gamma 90.00
_symmetry_space_group_name_H-M 'P 1 2/m 1'
_symmetry_Int_Tables_number 10
_symmetry_space_group_name_Hall '-P 2y'
loop_
_atom_site_label
_atom_site_fract_x
_atom_site_fract_y
_atom_site_fract_z
Sm1 0.000 0.000 0.000
Sm2 0.000 0.500 0.500
Th1 0.500 0.000 0.500
Pa1 0.500 0.500 0.000
N1 0.268 0.500 0.238
N2 0.274 0.000 0.773
# E_tot   -9.0375 eV per atom
# Magnetic moment   0.0 Bohr magnetons per cell
# Density of states at the Fermi level   3.84 states/eV/cell
# Density   10.4 g/cm3
# Formation energy without anion corrections   -152.51 kJ/mol of atoms

***

density of states at the Fermi level of number 4 (Sr3PmF8)? 4.10 states/eV/cell

***

Please write out number 2 again, unchanged.
# CsRb2BaBr5 | the Alexandria database | GGA-PBE | optimized geometry
data_CsRb2BaBr5
_cell_length_a 6.145
_cell_length_b 8.506
_cell_length_c 17.097
_cell_angle_alpha 90.00
_cell_angle_beta 90.00
_cell_angle_gamma 90.00
_symmetry_space_group_name_H-M 'I m m m'
_symmetry_Int_Tables_number 71
_symmetry_space_group_name_Hall '-I 2 2'
loop_
_atom_site_label
_atom_site_fract_x
_atom_site_fract_y
_atom_site_fract_z
Cs1 0.000 0.000 0.000
Rb1 0.000 0.500 0.207
Ba1 0.000 0.000 0.500
Br1 0.000 0.253 0.363
Br2 0.000 0.500 0.000
# E_tot   -3.2911 eV per atom
# Magnetic moment   0.0 Bohr magnetons per cell
# Density of states at the Fermi level   0.00 states/eV/cell
# Density   3.1 g/cm3
# Formation energy without anion corrections   -177.36 kJ/mol of atoms

***

Copy entry 5 word for word.
# PuMnAlCu | the Alexandria database | GGA-PBE | optimized geometry
data_PuMnAlCu
_cell_length_a 6.451
_cell_length_b 6.451
_cell_length_c 6.451
_cell_angle_alpha 90.00
_cell_angle_beta 90.00
_cell_angle_gamma 90.00
_symmetry_space_group_name_H-M 'F -4 3 m'
_symmetry_Int_Tables_number 216
_symmetry_space_group_name_Hall 'F -4 2 3'
loop_
_atom_site_label
_atom_site_fract_x
_atom_site_fract_y
_atom_site_fract_z
Pu1 0.000 0.000 0.000
Mn1 0.250 0.250 0.750
Al1 0.000 0.000 0.500
Cu1 0.250 0.250 0.250
# E_tot   -7.8624 eV per atom
# Magnetic moment   8.2 Bohr magnetons per cell
# Density of states at the Fermi level   20.01 states/eV/cell
# Density   9.6 g/cm3
# Energy relative to the elements   -0.0273 eV/atom